# Zr2ReTc (PBE, relaxed)
data_Zr2ReTc
_chemical_formula_sum 'Zr2 Re1 Tc1'
_symmetry_space_group_name_H-M 'P 1'
_symmetry_Int_Tables_number 1
_cell_length_a 8.647
_cell_length_b 8.647
_cell_length_c 8.647
_cell_angle_alpha 21.12
_cell_angle_beta 21.12
_cell_angle_gamma 21.12
loop_
_symmetry_equiv_pos_as_xyz
'x,y,z'
loop_
_atom_site_label
_atom_site_fract_x
_atom_site_fract_y
_atom_site_fract_z
_atom_site_occupancy
Zr1 0.250 0.250 0.250 1
Zr2 0.750 0.750 0.750 1
Re1 0.500 0.500 0.500 1
Tc1 0.000 0.000 0.000 1
# * space group: R-3m, No. 166
# * N(E_F): 2.43 states/eV/f.u.
# * total magnetization: 0.00 μB per formula unit
# * DFT total energy: -39.59 eV per cell

=====

# K2NaTaBr6 (PBE, relaxed)
data_K2NaTaBr6
_chemical_formula_sum 'K2 Na1 Ta1 Br6'
_symmetry_space_group_name_H-M 'P 1'
_symmetry_Int_Tables_number 1
_cell_length_a 7.783
_cell_length_b 7.783
_cell_length_c 7.783
_cell_angle_alpha 60.00
_cell_angle_beta 60.00
_cell_angle_gamma 60.00
loop_
_symmetry_equiv_pos_as_xyz
'x,y,z'
loop_
_atom_site_label
_atom_site_fract_x
_atom_site_fract_y
_atom_site_fract_z
_atom_site_occupancy
K1 0.250 0.250 0.250 1
K2 0.750 0.750 0.750 1
Na1 0.000 0.000 0.000 1
Ta1 0.500 0.500 0.500 1
Br1 0.261 0.261 0.739 1
Br2 0.261 0.739 0.261 1
Br3 0.261 0.739 0.739 1
Br4 0.739 0.261 0.261 1
Br5 0.739 0.261 0.739 1
Br6 0.739 0.739 0.261 1
# * space group: Fm-3m, No. 225
# * N(E_F): 7.27 states/eV/f.u.
# * ΔE_f (raw): -1.21 eV/atom
# * total magnetization: 2.00 μB per formula unit
# * DFT total energy: -37.52 eV per cell

=====

# Tm8Co2Hg (PBE, relaxed)
data_Tm8Co2Hg
_chemical_formula_sum 'Tm8 Co2 Hg1'
_symmetry_space_group_name_H-M 'P 1'
_symmetry_Int_Tables_number 1
_cell_length_a 7.687
_cell_length_b 7.687
_cell_length_c 5.275
_cell_angle_alpha 97.49
_cell_angle_beta 97.49
_cell_angle_gamma 113.34
loop_
_symmetry_equiv_pos_as_xyz
'x,y,z'
loop_
_atom_site_label
_atom_site_fract_x
_atom_site_fract_y
_atom_site_fract_z
_atom_site_occupancy
Tm1 0.067 0.332 0.579 1
Tm2 0.247 0.753 0.000 1
Tm3 0.332 0.067 0.579 1
Tm4 0.382 0.382 0.197 1
Tm5 0.618 0.618 0.803 1
Tm6 0.668 0.933 0.421 1
Tm7 0.753 0.247 0.000 1
Tm8 0.933 0.668 0.421 1
Co1 0.309 0.691 0.500 1
Co2 0.691 0.309 0.500 1
Hg1 0.000 0.000 0.000 1
# * space group: C2/m, No. 12
# * N(E_F): 11.11 states/eV/f.u.
# * total magnetization: 0.00 μB per formula unit
# * DFT total energy: -51.86 eV per cell

=====

# ZnSbTe2 (PBE, relaxed)
data_ZnSbTe2
_chemical_formula_sum 'Zn1 Sb1 Te2'
_symmetry_space_group_name_H-M 'P 1'
_symmetry_Int_Tables_number 1
_cell_length_a 3.327
_cell_length_b 5.400
_cell_length_c 6.064
_cell_angle_alpha 90.00
_cell_angle_beta 101.38
_cell_angle_gamma 90.00
loop_
_symmetry_equiv_pos_as_xyz
'x,y,z'
loop_
_atom_site_label
_atom_site_fract_x
_atom_site_fract_y
_atom_site_fract_z
_atom_site_occupancy
Zn1 0.000 0.000 0.000 1
Sb1 0.500 0.000 0.500 1
Te1 0.301 0.500 0.745 1
Te2 0.699 0.500 0.255 1
# * space group: P2/m, No. 10
# * N(E_F): 2.08 states/eV/f.u.
# * energy above the most stable polymorph in this dataset: 357 meV/atom
# * ΔE_f (raw): 0.26 eV/atom
# * total magnetization: 0.00 μB per formula unit
# * DFT total energy: -10.64 eV per cell

=====

# PmLuSi2 (PBE, relaxed)
data_PmLuSi2
_chemical_formula_sum 'Pm1 Lu1 Si2'
_symmetry_space_group_name_H-M 'P 1'
_symmetry_Int_Tables_number 1
_cell_length_a 5.813
_cell_length_b 5.813
_cell_length_c 5.813
_cell_angle_alpha 46.30
_cell_angle_beta 46.30
_cell_angle_gamma 46.30
loop_
_symmetry_equiv_pos_as_xyz
'x,y,z'
loop_
_atom_site_label
_atom_site_fract_x
_atom_site_fract_y
_atom_site_fract_z
_atom_site_occupancy
Pm1 0.000 0.000 0.000 1
Lu1 0.500 0.500 0.500 1
Si1 0.239 0.239 0.239 1
Si2 0.761 0.761 0.761 1
# * space group: R-3m, No. 166
# * N(E_F): 2.16 states/eV/f.u.
# * ΔE_f (raw): -0.49 eV/atom
# * total magnetization: 0.00 μB per formula unit
# * DFT total energy: -22.09 eV per cell

=====

# BeZnAu (PBE, relaxed)
data_BeZnAu
_chemical_formula_sum 'Be1 Zn1 Au1'
_symmetry_space_group_name_H-M 'P 1'
_symmetry_Int_Tables_number 1
_cell_length_a 4.762
_cell_length_b 4.762
_cell_length_c 4.762
_cell_angle_alpha 141.81
_cell_angle_beta 141.81
_cell_angle_gamma 55.12
loop_
_symmetry_equiv_pos_as_xyz
'x,y,z'
loop_
_atom_site_label
_atom_site_fract_x
_atom_site_fract_y
_atom_site_fract_z
_atom_site_occupancy
Be1 0.000 0.000 0.000 1
Zn1 0.339 0.339 0.000 1
Au1 0.648 0.648 0.000 1
# * space group: I4mm, No. 107
# * N(E_F): 0.68 states/eV/f.u.
# * energy above the most stable polymorph in this dataset: 49 meV/atom
# * total magnetization: 0.00 μB per formula unit
# * DFT total energy: -8.45 eV per cell

=====

# SrMgZrPt2 (PBE, relaxed)
data_SrMgZrPt2
_chemical_formula_sum 'Sr1 Mg1 Zr1 Pt2'
_symmetry_space_group_name_H-M 'P 1'
_symmetry_Int_Tables_number 1
_cell_length_a 6.719
_cell_length_b 6.719
_cell_length_c 6.719
_cell_angle_alpha 141.76
_cell_angle_beta 141.76
_cell_angle_gamma 55.20
loop_
_symmetry_equiv_pos_as_xyz
'x,y,z'
loop_
_atom_site_label
_atom_site_fract_x
_atom_site_fract_y
_atom_site_fract_z
_atom_site_occupancy
Sr1 0.000 0.000 0.000 1
Mg1 0.750 0.250 0.500 1
Zr1 0.250 0.750 0.500 1
Pt1 0.385 0.385 0.000 1
Pt2 0.615 0.615 0.000 1
# * space group: I-4m2, No. 119
# * N(E_F): 3.52 states/eV/f.u.
# * total magnetization: 0.00 μB per formula unit
# * DFT total energy: -27.99 eV per cell

=====

# K2SrZn2 (PBE, relaxed)
data_K2SrZn2
_chemical_formula_sum 'K2 Sr1 Zn2'
_symmetry_space_group_name_H-M 'P 1'
_symmetry_Int_Tables_number 1
_cell_length_a 8.434
_cell_length_b 8.434
_cell_length_c 8.434
_cell_angle_alpha 145.62
_cell_angle_beta 145.62
_cell_angle_gamma 49.41
loop_
_symmetry_equiv_pos_as_xyz
'x,y,z'
loop_
_atom_site_label
_atom_site_fract_x
_atom_site_fract_y
_atom_site_fract_z
_atom_site_occupancy
K1 0.250 0.750 0.500 1
K2 0.750 0.250 0.500 1
Sr1 0.000 0.000 0.000 1
Zn1 0.418 0.418 0.000 1
Zn2 0.582 0.582 0.000 1
# * space group: I4/mmm, No. 139
# * N(E_F): 4.61 states/eV/f.u.
# * energy above the most stable polymorph in this dataset: 43 meV/atom
# * total magnetization: 0.00 μB per formula unit
# * DFT total energy: -5.83 eV per cell

=====

Please write out number 4 again, unchanged.
# ZnSbTe2 (PBE, relaxed)
data_ZnSbTe2
_chemical_formula_sum 'Zn1 Sb1 Te2'
_symmetry_space_group_name_H-M 'P 1'
_symmetry_Int_Tables_number 1
_cell_length_a 3.327
_cell_length_b 5.400
_cell_length_c 6.064
_cell_angle_alpha 90.00
_cell_angle_beta 101.38
_cell_angle_gamma 90.00
loop_
_symmetry_equiv_pos_as_xyz
'x,y,z'
loop_
_atom_site_label
_atom_site_fract_x
_atom_site_fract_y
_atom_site_fract_z
_atom_site_occupancy
Zn1 0.000 0.000 0.000 1
Sb1 0.500 0.000 0.500 1
Te1 0.301 0.500 0.745 1
Te2 0.699 0.500 0.255 1
# * space group: P2/m, No. 10
# * N(E_F): 2.08 states/eV/f.u.
# * energy above the most stable polymorph in this dataset: 357 meV/atom
# * ΔE_f (raw): 0.26 eV/atom
# * total magnetization: 0.00 μB per formula unit
# * DFT total energy: -10.64 eV per cell